Compound: ZnSi2TeRh
Source: Alexandria via LeMat-Bulk
Functional: PBE
Structure: relaxed

Cell lengths 4.5407, 4.9007, 4.5407 Å; angles 90.00, 90.00, 90.00 degrees
Last column: nearest neighbours and their distance in Å.
Atoms (fractional coordinates):
Te  0.5000  0.5000  0.5000  4 Rh 3.21, 8 Si 3.34
Si  0.0000  0.0000  0.5000  2 Zn 2.27
Si  0.5000  0.0000  0.0000  2 Zn 2.27
Rh  0.0000  0.5000  0.0000  2 Zn 2.45
Zn  0.0000  0.0000  0.0000  4 Si 2.27, 2 Rh 2.45

Results
- symmetry = P4/mmm (123)
- raw formation energy (meV/atom) = 777